Compound: NbCoNi2H
Source: Alexandria
Functional: GGA-PBE
Structure: optimized geometry

Geometry as POSCAR:
```
NbCoNi2H
1.0
3.652 0.000 0.000
0.000 3.652 0.000
0.000 0.000 3.867
Co Ni Nb H
1 2 1 1
Direct
0.000 0.000 0.500
0.000 0.500 0.000
0.500 0.000 0.000
0.500 0.500 0.500
0.000 0.000 0.000
```

## Properties
- crystal system = tetragonal
- energy (eV per atom) = -6.50
- D(E_F) (states/eV/atom) = 1.145
- ΔE to the lowest computed polymorph (eV per atom) = 0.025


Compound: CsSn2WI
Source: Alexandria
Functional: GGA-PBE
Structure: optimized geometry

Geometry as POSCAR:
```
CsSn2WI
1.0
-2.221 4.971 2.497
-6.016 -1.438 -2.489
-1.317 -3.082 4.964
I Sn W Cs
1 2 1 1
Direct
0.000 0.000 0.000
0.000 0.000 0.500
0.500 0.000 0.000
0.500 0.500 0.500
0.000 0.500 0.000
```

## Properties
- crystal system = tetragonal
- uncorrected formation energy (kJ/mol of atoms) = 158.0
- energy (eV per atom) = -3.03
- D(E_F) (states/eV/atom) = 0.633


Compound: Nd4ZnAg2
Source: Alexandria
Functional: GGA-PBE
Structure: optimized geometry

Geometry as POSCAR:
```
Nd4ZnAg2
1.0
-1.306 -0.524 -4.972
2.328 -5.977 0.019
-6.194 -0.242 1.652
Zn Ag Nd
1 2 4
Direct
0.500 0.500 0.500
0.000 0.257 0.743
0.000 0.743 0.257
0.000 0.244 0.244
0.000 0.756 0.756
0.500 0.000 0.500
0.500 0.500 0.000
```

## Properties
- crystal system = orthorhombic
- energy (eV per atom) = -3.84
- D(E_F) (states/eV/atom) = 1.443
- energy of formation from the pure elements (kJ/mol of formula units) = -84


Compound: Ho4W
Source: Alexandria
Functional: GGA-PBE
Structure: optimized geometry

Geometry as POSCAR:
```
Ho4W
1.0
5.432 0.000 0.000
0.000 5.432 0.000
0.000 0.000 5.432
Ho W
4 1
Direct
0.000 0.000 0.000
0.000 0.500 0.500
0.500 0.000 0.500
0.500 0.500 0.000
0.500 0.500 0.500
```

## Properties
- crystal system = cubic
- energy (eV per atom) = -5.72
- D(E_F) (states/eV/atom) = 1.178
- energy of formation from the pure elements (kJ/mol of formula units) = 259


Compound: MgBi3S
Source: Alexandria
Functional: GGA-PBE
Structure: optimized geometry

Geometry as POSCAR:
```
MgBi3S
1.0
-1.656 -0.850 -5.138
-1.116 -5.208 1.221
-5.087 1.419 1.404
Bi Mg S
3 1 1
Direct
0.000 0.000 0.500
0.000 0.500 0.000
0.500 0.000 0.000
0.000 0.000 0.000
0.500 0.500 0.500
```

## Properties
- crystal system = cubic
- uncorrected formation energy (kJ/mol of atoms) = 69.9
- energy (eV per atom) = -2.75
- D(E_F) (states/eV/atom) = 1.298
- ΔE to the lowest computed polymorph (eV per atom) = 0.369


Compound: Ac6HOs2Br3
Source: Alexandria
Functional: GGA-PBE
Structure: optimized geometry

Geometry as POSCAR:
```
Ac6HOs2Br3
1.0
7.412 -0.006 -0.002
-3.709 6.417 -0.002
-1.237 -2.142 8.307
Br Os Ac H
3 2 6 1
Direct
0.826 0.174 0.500
0.500 0.500 0.500
0.174 0.826 0.500
0.334 0.666 0.000
0.666 0.334 0.000
0.065 0.405 0.195
0.595 0.935 0.805
0.935 0.595 0.805
0.275 0.275 0.806
0.725 0.725 0.194
0.405 0.065 0.195
0.000 0.000 0.000
```

## Properties
- crystal system = monoclinic
- energy (eV per atom) = -5.43
- D(E_F) (states/eV/atom) = 0.298


Compound: BTeP2O
Source: Alexandria
Functional: GGA-PBE
Structure: optimized geometry

Geometry as POSCAR:
```
BTeP2O
1.0
5.136 0.000 0.000
0.000 5.136 0.000
0.000 0.000 3.915
P Te O B
2 1 1 1
Direct
0.000 0.500 0.000
0.500 0.000 0.000
0.000 0.000 0.000
0.000 0.000 0.500
0.500 0.500 0.500
```

## Properties
- crystal system = tetragonal
- uncorrected formation energy (kJ/mol of atoms) = 143.4
- energy (eV per atom) = -3.63
- D(E_F) (states/eV/atom) = 0.974
- ΔE to the lowest computed polymorph (eV per atom) = 1.190


Compound: SrTlCl
Source: Alexandria
Functional: GGA-PBE
Structure: optimized geometry

Geometry as POSCAR:
```
SrTlCl
1.0
5.013 0.000 0.000
-2.506 4.341 0.000
0.000 0.000 4.958
Tl Cl Sr
1 1 1
Direct
0.333 0.667 0.666
0.000 0.000 0.169
0.667 0.333 0.166
```

## Properties
- crystal system = trigonal
- uncorrected formation energy (kJ/mol of atoms) = -90.9
- energy (eV per atom) = -2.91
- D(E_F) (states/eV/atom) = 0.973
- ΔE to the lowest computed polymorph (eV per atom) = 0.358